a) Crystalline GaAsSBr2 at its relaxed geometry. Source: Alexandria, functional PBE-GGA.

Computed properties:
SG: P4/mmm
Total moment in Bohr magnetons per cell: 0.01
DOS(E_F) in states/eV/cell: 5.30

a = 4.9021 Å, b = 4.9021 Å, c = 5.4643 Å
α = 90.00°, β = 90.00°, γ = 90.00°
Positions (direct):
1 Ga 0.0000 0.0000 0.0000
2 As 0.0000 0.0000 0.5000
3 S 0.5000 0.5000 0.5000
4 Br 0.0000 0.5000 0.0000
5 Br 0.5000 0.0000 0.0000

=====

b) Crystalline GaAsSBr2 at its relaxed geometry. Source: Alexandria, functional PBE-GGA.

Computed properties:
SG: P4/mmm
Total moment in Bohr magnetons per cell: 0.00
DOS(E_F) in states/eV/cell: 2.52

a = 5.4354 Å, b = 5.4354 Å, c = 4.8076 Å
α = 90.00°, β = 90.00°, γ = 90.00°
Positions (direct):
1 Ga 0.0000 0.0000 0.0000
2 As 0.5000 0.5000 0.0000
3 S 0.5000 0.5000 0.5000
4 Br 0.0000 0.5000 0.5000
5 Br 0.5000 0.0000 0.5000

=====

Most stable of them? b).